# NaCoS2

Crystalline NaCoS2 at its relaxed geometry (PBE, Alexandria).

a b c (Å): 4.4365 4.4365 4.4365
angles (deg): 60.00 60.00 60.00
Last column: nearest neighbours and their distance in Å.
Sites, in units of the cell vectors:
Na  0.0000  0.0000  0.0000  8 S 2.72
S  0.2500  0.2500  0.2500  4 Co 2.72, 4 Na 2.72
S  0.7500  0.7500  0.7500  4 Co 2.72, 4 Na 2.72
Co  0.5000  0.5000  0.5000  8 S 2.72

As for the final energy: -4.169 eV/atom. Its space group is Fm-3m, No. 225.